A geometry-optimized LiFe3O structure. Source: Alexandria, functional GGA+U.

The structure belongs to space group Pm-3m (No. 221); the cell edges are 4.2182, 4.2182 and 4.2182 Å and the angles 90.00°, 90.00° and 90.00°. The asymmetric unit holds Li at (0.0000, 0.0000, 0.0000), Fe at (0.0000, 0.0000, 0.5000) and O at (0.5000, 0.5000, 0.5000).

Its crystal system is cubic. The size of the total moment comes out at 9.21 μB/f.u. The volume is 15.01 Å³/atom. The value obtained for the energy above the most stable polymorph in this dataset is 956 meV/atom. As for the total energy: -3.368 eV/atom.